This record from Alexandria describes an optimized crystal structure of Nd3HRu. The functional is PBE-GGA.

Values from the calculation:
N(E_F) in states/eV per cell: 6.315
Space group: Pm, No. 6
DFT total energy in eV/atom: -5.581

```
Nd3HRu
1.0
3.8715 -0.0006 -0.0009
0.0011 7.3759 -0.0151
0.0022 2.5851 8.4632
Nd Ru H
6 2 2
direct
0.8632 0.9651 0.7389 Nd
0.3632 0.0820 0.0613 Nd
0.3632 0.3068 0.4316 Nd
0.8632 0.4233 0.7540 Nd
0.8632 0.5867 0.0758 Nd
0.8634 0.8017 0.4173 Nd
0.3632 0.6944 0.7458 Ru
0.8633 0.1943 0.2464 Ru
0.3631 0.1942 0.7467 H
0.3633 0.6931 0.2465 H
```

=====

This record from Alexandria describes an optimized crystal structure of Ac12LaSn7. The functional is PBE-GGA.

Values from the calculation:
Formation enthalpy at 0 K in eV per atom: -0.4013
N(E_F) in states/eV per cell: 21.733
Space group: R-3m, No. 166
DFT total energy in eV/atom: -4.514

```
Ac12LaSn7
1.0
10.2014 -0.4367 -0.6555
-3.2561 9.6776 -0.6555
-3.2561 -4.3323 8.6785
Ac Sn La
12 7 1
direct
0.5153 0.8333 0.5154 Ac
0.4847 0.1667 0.4846 Ac
0.0000 0.2689 0.7312 Ac
0.1667 0.4846 0.4847 Ac
0.2688 0.0000 0.7311 Ac
0.4846 0.4847 0.1667 Ac
0.5154 0.5153 0.8333 Ac
0.2689 0.7312 0.0000 Ac
0.8333 0.5154 0.5153 Ac
0.7311 0.2688 0.0000 Ac
0.7312 0.0000 0.2689 Ac
0.0000 0.7311 0.2688 Ac
0.4528 0.1363 0.1362 Sn
0.8638 0.5472 0.8637 Sn
0.5472 0.8637 0.8638 Sn
0.1363 0.1362 0.4528 Sn
0.1362 0.4528 0.1363 Sn
0.5000 0.5000 0.5000 Sn
0.8637 0.8638 0.5472 Sn
0.0000 0.0000 0.0000 La
```

=====

This record from Alexandria describes an optimized crystal structure of Pm5NdSm2Sc. The functional is PBE-GGA.

Values from the calculation:
Formation enthalpy at 0 K in eV per atom: 0.1268
N(E_F) in states/eV per cell: 28.378
Space group: Cmc2_1, No. 36
DFT total energy in eV/atom: -4.794

```
Pm5NdSm2Sc
1.0
-5.2087 -1.2807 0.7229
1.5254 -1.0880 -11.1974
2.5980 -9.8272 1.3088
Sm Pm Sc Nd
4 10 2 2
direct
0.8832 0.7664 0.7609 Sm
0.1168 0.2336 0.2609 Sm
0.1172 0.2343 0.7552 Sm
0.8828 0.7657 0.2552 Sm
0.3737 0.7473 0.0081 Pm
0.4999 0.9999 0.2580 Pm
0.6263 0.2527 0.5081 Pm
0.7218 0.4437 0.1969 Pm
0.9981 0.9963 0.0081 Pm
0.2777 0.5554 0.3203 Pm
0.5001 0.0001 0.7580 Pm
0.0019 0.0037 0.5081 Pm
0.2782 0.5563 0.6969 Pm
0.7223 0.4446 0.8203 Pm
0.7843 0.5686 0.5085 Sc
0.2157 0.4314 0.0085 Sc
0.3984 0.7968 0.5080 Nd
0.6016 0.2032 0.0080 Nd
```

=====

This record from Alexandria describes an optimized crystal structure of Nd2TmIn4. The functional is PBE-GGA.

Values from the calculation:
Formation enthalpy at 0 K in eV per atom: -0.3246
N(E_F) in states/eV per cell: 5.130
ΔE to the lowest computed polymorph in eV/atom: 0.0000
Space group: I4/mmm, No. 139
DFT total energy in eV/atom: -3.890

```
Nd2TmIn4
1.0
-3.3476 -3.7086 -1.7170
4.0687 -2.8162 -1.8499
0.1817 -0.2668 8.3489
Nd In Tm
2 4 1
direct
0.7498 0.7498 0.4996 Nd
0.2502 0.2502 0.5004 Nd
0.6085 0.1085 0.2171 In
0.3915 0.8915 0.7829 In
0.8915 0.3915 0.7829 In
0.1085 0.6085 0.2171 In
0.0000 0.0000 0.0000 Tm
```

=====

This record from Alexandria describes an optimized crystal structure of SrPa2WN5. The functional is PBE-GGA.

Values from the calculation:
Energy relative to the elements, uncorrected in eV/f.u.: -11.47
N(E_F) in states/eV per cell: 4.160
Space group: Immm, No. 71
DFT total energy in eV/atom: -9.636

```
SrPa2WN5
1.0
-0.2509 -2.2189 3.2113
5.3073 1.8913 1.7215
-4.9836 4.5010 0.3386
N W Pa Sr
5 1 2 1
direct
0.0000 0.0000 0.0000 N
0.3534 0.0894 0.7067 N
0.3534 0.6173 0.7067 N
0.6466 0.9106 0.2933 N
0.6466 0.3827 0.2933 N
0.5000 0.0000 0.0000 W
0.2105 0.2105 0.4210 Pa
0.7895 0.7895 0.5790 Pa
0.0000 0.5000 0.0000 Sr
```

=====

This record from Alexandria describes an optimized crystal structure of LiNd2ScO5. The functional is PBE-GGA.

Values from the calculation:
Energy relative to the elements, uncorrected in eV/f.u.: -27.93
N(E_F) in states/eV per cell: 0.000
Space group: Cmc2_1, No. 36
DFT total energy in eV/atom: -7.834

```
LiNd2ScO5
1.0
3.5243 0.0000 0.0000
-1.7622 6.7841 0.0000
0.0000 0.0000 9.5171
Nd Li O Sc
4 2 10 2
direct
0.8735 0.7471 0.7997 Nd
0.1281 0.2562 0.6826 Nd
0.1265 0.2529 0.2997 Nd
0.8719 0.7438 0.1826 Nd
0.7713 0.5426 0.4987 Li
0.2287 0.4574 0.9987 Li
0.3073 0.6147 0.6477 O
0.3649 0.7298 0.0041 O
0.9643 0.9286 0.5624 O
0.0357 0.0714 0.0624 O
0.6927 0.3853 0.1477 O
0.6351 0.2702 0.5041 O
0.4924 0.9848 0.2876 O
0.5076 0.0152 0.7876 O
0.6959 0.3918 0.8544 O
0.3041 0.6082 0.3544 O
0.4301 0.8601 0.4868 Sc
0.5699 0.1399 0.9868 Sc
```

=====

This record from Alexandria describes an optimized crystal structure of CsBeSn3. The functional is PBE-GGA.

Values from the calculation:
Formation enthalpy at 0 K in eV per atom: 0.2906
N(E_F) in states/eV per cell: 2.562
ΔE to the lowest computed polymorph in eV/atom: 0.0000
Space group: Pm-3m, No. 221
DFT total energy in eV/atom: -3.027

```
CsBeSn3
1.0
-0.1394 1.2901 5.1063
5.0509 -1.4145 0.4953
1.4923 4.9085 -1.1994
Sn Cs Be
3 1 1
direct
0.0000 0.0000 0.5000 Sn
0.0000 0.5000 0.0000 Sn
0.5000 0.0000 0.0000 Sn
0.5000 0.5000 0.5000 Cs
0.0000 0.0000 0.0000 Be
```

=====

This record from Alexandria describes an optimized crystal structure of TbYHo3. The functional is PBE-GGA.

Values from the calculation:
Formation enthalpy at 0 K in eV per atom: 0.0055
N(E_F) in states/eV per cell: 18.455
ΔE to the lowest computed polymorph in eV/atom: 0.0000
Space group: P-1, No. 2
DFT total energy in eV/atom: -4.960

```
TbYHo3
1.0
-7.8123 5.3593 1.3973
0.8333 -1.6840 6.4198
1.3458 4.5647 4.0712
Ho Y Tb
6 2 2
direct
0.4504 0.9502 0.8172 Ho
0.5497 0.4498 0.1828 Ho
0.0505 0.9497 0.0156 Ho
0.9495 0.4503 0.9844 Ho
0.7506 0.4498 0.5817 Ho
0.2494 0.9502 0.4183 Ho
0.6501 0.9505 0.2156 Y
0.3499 0.4495 0.7844 Y
0.1495 0.4511 0.3843 Tb
0.8505 0.9489 0.6157 Tb
```

=====

This record from Alexandria describes an optimized crystal structure of Nb2Ni4Pt. The functional is PBE-GGA.

Values from the calculation:
Formation enthalpy at 0 K in eV per atom: 0.9041
N(E_F) in states/eV per cell: 10.871
ΔE to the lowest computed polymorph in eV/atom: 0.9319
Space group: I4/mmm, No. 139
DFT total energy in eV/atom: -6.140

```
Nb2Ni4Pt
1.0
4.5896 0.0000 0.0000
0.0000 4.5896 0.0000
2.2948 2.2948 6.0347
Pt Ni Nb
1 4 2
direct
0.0000 0.0000 0.0000 Pt
0.2027 0.2027 0.5945 Ni
0.0000 0.5000 0.0000 Ni
0.5000 0.0000 0.0000 Ni
0.7973 0.7973 0.4055 Ni
0.6072 0.6072 0.7857 Nb
0.3928 0.3928 0.2143 Nb
```

=====

This record from Alexandria describes an optimized crystal structure of Pr5Sn2Ru. The functional is PBE-GGA.

Values from the calculation:
Formation enthalpy at 0 K in eV per atom: -0.2932
N(E_F) in states/eV per cell: 12.126
ΔE to the lowest computed polymorph in eV/atom: 0.2504
Space group: Cmcm, No. 63
DFT total energy in eV/atom: -5.441

```
Pr5Sn2Ru
1.0
6.0089 0.0000 0.0000
-3.0044 5.1922 0.0000
0.0000 0.0000 16.0673
Ru Pr Sn
2 10 4
direct
0.7503 0.5006 0.7500 Ru
0.2497 0.4994 0.2500 Ru
0.7498 0.4997 0.2500 Pr
0.4195 0.8391 0.3826 Pr
0.0803 0.1605 0.3828 Pr
0.0803 0.1605 0.1172 Pr
0.5805 0.1609 0.8826 Pr
0.9197 0.8395 0.8828 Pr
0.5805 0.1609 0.6174 Pr
0.9197 0.8395 0.6172 Pr
0.2502 0.5003 0.7500 Pr
0.4195 0.8391 0.1174 Pr
0.7499 0.4997 0.0518 Sn
0.2501 0.5003 0.9482 Sn
0.7499 0.4997 0.4482 Sn
0.2501 0.5003 0.5518 Sn
```

=====

This record from Alexandria describes an optimized crystal structure of BaNa3In. The functional is PBE-GGA.

Values from the calculation:
Formation enthalpy at 0 K in eV per atom: -0.0853
N(E_F) in states/eV per cell: 12.846
ΔE to the lowest computed polymorph in eV/atom: 0.0000
Space group: C2/c, No. 15
DFT total energy in eV/atom: -1.809

```
BaNa3In
1.0
7.4081 0.0866 0.0640
1.8511 10.9279 1.0471
1.8511 4.2072 10.1398
Na Ba In
12 4 4
direct
0.4066 0.3440 0.0121 Na
0.9066 0.0121 0.3440 Na
0.5770 0.9920 0.6619 Na
0.5932 0.3164 0.3169 Na
0.0932 0.3169 0.3164 Na
0.0934 0.9879 0.6560 Na
0.5934 0.6560 0.9879 Na
0.9068 0.6831 0.6836 Na
0.9230 0.3381 0.0080 Na
0.0770 0.6619 0.9920 Na
0.4230 0.0080 0.3381 Na
0.4068 0.6836 0.6831 Na
0.7500 0.6421 0.3579 Ba
0.2500 0.9402 0.0598 Ba
0.7500 0.0598 0.9402 Ba
0.2500 0.3579 0.6421 Ba
0.7113 0.4203 0.7390 In
0.2113 0.7390 0.4203 In
0.7887 0.2610 0.5797 In
0.2887 0.5797 0.2610 In
```

=====

This record from Alexandria describes an optimized crystal structure of ScUPbO6. The functional is PBE-GGA.

Values from the calculation:
Energy relative to the elements, uncorrected in eV/f.u.: -21.69
N(E_F) in states/eV per cell: 10.961
Space group: Imma, No. 74
DFT total energy in eV/atom: -8.085

```
ScUPbO6
1.0
-4.0450 -3.4791 -5.1381
-5.3338 -2.0427 5.5823
1.7514 7.6699 -1.2331
O Sc U Pb
12 2 2 2
direct
0.4065 0.6862 0.2156 O
0.8092 0.6862 0.2156 O
0.1908 0.9408 0.3817 O
0.4370 0.6870 0.8739 O
0.4065 0.0295 0.2156 O
0.5630 0.3130 0.1261 O
0.8092 0.0592 0.6183 O
0.1908 0.9705 0.7844 O
0.8092 0.0295 0.2156 O
0.5935 0.9705 0.7844 O
0.1908 0.3138 0.7844 O
0.5935 0.3138 0.7844 O
0.0000 0.0000 0.5000 Sc
0.5000 0.0000 0.5000 Sc
0.5000 0.5000 0.0000 U
0.5000 0.0000 0.0000 U
0.0090 0.7590 0.0180 Pb
0.9910 0.2410 0.9820 Pb
```

=====

This record from Alexandria describes an optimized crystal structure of Ti5Ni8Pt. The functional is PBE-GGA.

Values from the calculation:
Formation enthalpy at 0 K in eV per atom: -0.2279
N(E_F) in states/eV per cell: 11.261
Space group: I-4, No. 82
DFT total energy in eV/atom: -6.783

```
Ti5Ni8Pt
1.0
6.2704 0.0091 -0.0156
-2.1131 5.9036 0.0156
-2.0442 -2.9806 5.1240
Ni Ti Pt
8 5 1
direct
0.6664 0.4041 0.9457 Ni
0.0543 0.7207 0.4584 Ni
0.3376 0.2550 0.3832 Ni
0.5416 0.5959 0.2623 Ni
0.1282 0.7450 0.0826 Ni
0.6168 0.9544 0.8718 Ni
0.7377 0.2793 0.3336 Ni
0.9174 0.0456 0.6624 Ni
0.8788 0.9454 0.2451 Ti
0.0666 0.3664 0.1212 Ti
0.2998 0.0546 0.9334 Ti
0.5000 0.0000 0.5000 Ti
0.7549 0.6336 0.7002 Ti
0.2500 0.5000 0.7500 Pt
```

=====

This record from Alexandria describes an optimized crystal structure of CeDyTm2P4. The functional is PBE-GGA.

Values from the calculation:
Formation enthalpy at 0 K in eV per atom: -1.5822
N(E_F) in states/eV per cell: 5.339
Space group: P2/m, No. 10
DFT total energy in eV/atom: -6.722

```
CeDyTm2P4
1.0
-2.2174 -1.6920 -2.8646
2.8041 -6.1522 1.4631
-5.6663 0.9156 3.8454
Tm P Dy Ce
2 4 1 1
direct
0.0000 0.5000 0.5000 Tm
0.5000 0.0000 0.5000 Tm
0.0000 0.7531 0.2557 P
0.5000 0.7489 0.7461 P
0.0000 0.2469 0.7443 P
0.5000 0.2511 0.2539 P
0.0000 0.0000 0.0000 Dy
0.5000 0.5000 0.0000 Ce
```

=====

This record from Alexandria describes an optimized crystal structure of Ca3AcH. The functional is PBE-GGA.

Values from the calculation:
N(E_F) in states/eV per cell: 5.217
Space group: Pm-3m, No. 221
DFT total energy in eV/atom: -2.703

```
Ca3AcH
1.0
-1.4858 -3.1260 -4.2271
4.1818 -3.3649 1.0185
-3.1863 -2.9586 3.3078
Ca Ac H
3 1 1
direct
0.0000 0.5000 0.0000 Ca
0.5000 0.0000 0.0000 Ca
0.0000 0.0000 0.5000 Ca
0.5000 0.5000 0.5000 Ac
0.0000 0.0000 0.0000 H
```

=====

This record from Alexandria describes an optimized crystal structure of TlZnRe2. The functional is PBE-GGA.

Values from the calculation:
Formation enthalpy at 0 K in eV per atom: 0.7909
N(E_F) in states/eV per cell: 3.579
ΔE to the lowest computed polymorph in eV/atom: 0.4159
Space group: Immm, No. 71
DFT total energy in eV/atom: -6.343

```
TlZnRe2
1.0
5.5112 0.0015 -0.0129
2.6593 4.8272 0.0129
-3.4390 -3.5077 2.4984
Tl Re Zn
1 2 1
direct
0.7500 0.2500 0.5000 Tl
0.0110 0.0110 0.0000 Re
0.4890 0.4890 0.0000 Re
0.2500 0.7500 0.5000 Zn
```

=====

This record from Alexandria describes an optimized crystal structure of PdS2NCl. The functional is PBE-GGA.

Values from the calculation:
Energy relative to the elements, uncorrected in eV/f.u.: 5.01
N(E_F) in states/eV per cell: 4.697
ΔE to the lowest computed polymorph in eV/atom: 0.0000
Space group: P4/mmm, No. 123
DFT total energy in eV/atom: -3.723

```
PdS2NCl
1.0
-1.1818 -3.0680 1.8258
3.4129 -0.4062 1.5264
-1.9099 3.8937 5.3066
Pd S Cl N
1 2 1 1
direct
0.5000 0.5000 0.5000 Pd
0.5000 0.0000 0.0000 S
0.0000 0.5000 0.0000 S
0.0000 0.0000 0.5000 Cl
0.0000 0.0000 0.0000 N
```

=====

This record from Alexandria describes an optimized crystal structure of Ho5RuPb4. The functional is PBE-GGA.

Values from the calculation:
Formation enthalpy at 0 K in eV per atom: -0.2662
N(E_F) in states/eV per cell: 7.204
Space group: I4, No. 79
DFT total energy in eV/atom: -4.966

```
Ho5RuPb4
1.0
-1.7664 -0.6923 -5.8413
3.3117 -5.7317 -3.5509
-5.9343 -4.5172 -0.8989
Pb Ho Ru
4 5 1
direct
0.5848 0.6054 0.2617 Pb
0.4519 0.3946 0.7383 Pb
0.1902 0.2617 0.3946 Pb
0.8465 0.7383 0.6054 Pb
0.1282 0.6434 0.1342 Ho
0.9059 0.3566 0.8658 Ho
0.7717 0.1342 0.3566 Ho
0.2624 0.8658 0.6434 Ho
0.4254 0.0000 0.0000 Ho
0.9433 0.0000 0.0000 Ru
```

=====

This record from Alexandria describes an optimized crystal structure of BeSn2AsF. The functional is PBE-GGA.

Values from the calculation:
Energy relative to the elements, uncorrected in eV/f.u.: -0.47
N(E_F) in states/eV per cell: 2.767
Space group: P4/mmm, No. 123
DFT total energy in eV/atom: -3.745

```
BeSn2AsF
1.0
-4.4987 2.2525 0.1882
-0.8327 -1.3352 -3.9241
-2.0313 -4.2126 1.8644
Sn F As Be
2 1 1 1
direct
0.5000 0.0000 0.0000 Sn
0.0000 0.0000 0.5000 Sn
0.5000 0.5000 0.5000 F
0.0000 0.5000 0.0000 As
0.0000 0.0000 0.0000 Be
```

=====

This record from Alexandria describes an optimized crystal structure of Tb2DyPaAs4. The functional is PBE-GGA.

Values from the calculation:
Formation enthalpy at 0 K in eV per atom: -1.4229
N(E_F) in states/eV per cell: 5.417
Space group: P2/m, No. 10
DFT total energy in eV/atom: -6.667

```
Tb2DyPaAs4
1.0
-0.3767 -3.3611 2.3602
-3.3692 -3.3480 -5.3055
7.0110 -1.1593 -0.5320
Dy Tb As Pa
1 2 4 1
direct
0.0000 0.0000 0.0000 Dy
0.5000 0.0000 0.5000 Tb
0.0000 0.5000 0.5000 Tb
0.5000 0.2521 0.2461 As
0.0000 0.2527 0.7535 As
0.5000 0.7479 0.7539 As
0.0000 0.7473 0.2465 As
0.5000 0.5000 0.0000 Pa
```